Record 1
Density functional theory data (PBE) for Sr2CaBr after structural relaxation.

Results
- Density: 2.7 g/cm3
- M_tot: 0.00 Bohr magnetons per cell
- Polymorph energy (0 for the lowest one): 29 meV per atom
- Formation energy (no corrections): -2.72 eV per formula unit
- Space group: No. 10
- Fermi-level density of states: 3.626 states/eV/f.u.

Cell lengths 4.033, 4.187, 10.784 Å; angles 90.13, 90.00, 90.00 degrees
Atoms (fractional coordinates):
1 Sr 0.000 0.252 0.019
2 Sr 0.000 0.248 0.481
3 Ca 0.500 0.750 0.750
4 Br 0.500 0.250 0.250

***

Record 2
Density functional theory data (PBE) for SrCaBr after structural relaxation.

Results
- Density: 3.1 g/cm3
- M_tot: 0.00 Bohr magnetons per cell
- Polymorph energy (0 for the lowest one): 97 meV per atom
- Formation energy (no corrections): -2.44 eV per formula unit
- Space group: No. 107
- Fermi-level density of states: 2.219 states/eV/f.u.

Cell lengths 7.874, 7.874, 7.874 Å; angles 151.52, 151.52, 40.71 degrees
Atoms (fractional coordinates):
1 Sr 0.651 0.651 0.000
2 Ca 0.347 0.347 0.000
3 Br 0.001 0.001 0.000

***

Record 3
Density functional theory data (PBE) for Sr2CaBr after structural relaxation.

Results
- Density: 2.8 g/cm3
- M_tot: 0.00 Bohr magnetons per cell
- Polymorph energy (0 for the lowest one): 248 meV per atom
- Formation energy (no corrections): -1.84 eV per formula unit
- Space group: No. 12
- Fermi-level density of states: 3.183 states/eV/f.u.

Cell lengths 6.570, 6.570, 4.103 Å; angles 89.94, 89.94, 97.77 degrees
Atoms (fractional coordinates):
1 Sr 0.000 0.000 0.000
2 Sr 0.500 0.500 0.000
3 Ca 0.000 0.500 0.500
4 Br 0.500 0.000 0.500

***

Record 4
Density functional theory data (PBE) for Sr2CaBr after structural relaxation.

Results
- Density: 2.9 g/cm3
- M_tot: 0.50 Bohr magnetons per cell
- Polymorph energy (0 for the lowest one): 0 meV per atom
- Formation energy (no corrections): -2.83 eV per formula unit
- Space group: No. 166
- Fermi-level density of states: 4.611 states/eV/f.u.

Cell lengths 11.457, 11.457, 11.457 Å; angles 20.92, 20.92, 20.92 degrees
Atoms (fractional coordinates):
1 Sr 0.987 0.987 0.987
2 Sr 0.513 0.513 0.513
3 Ca 0.750 0.750 0.750
4 Br 0.250 0.250 0.250

***

- Look up the Fermi-level density of states of the first one.
  3.626 states/eV/f.u.

***

- Which of these has the highest M_tot?
  number 4

***

Repeat the first record exactly.
Density functional theory data (PBE) for Sr2CaBr after structural relaxation.

Results
- Density: 2.7 g/cm3
- M_tot: 0.00 Bohr magnetons per cell
- Polymorph energy (0 for the lowest one): 29 meV per atom
- Formation energy (no corrections): -2.72 eV per formula unit
- Space group: No. 10
- Fermi-level density of states: 3.626 states/eV/f.u.

Cell lengths 4.033, 4.187, 10.784 Å; angles 90.13, 90.00, 90.00 degrees
Atoms (fractional coordinates):
1 Sr 0.000 0.252 0.019
2 Sr 0.000 0.248 0.481
3 Ca 0.500 0.750 0.750
4 Br 0.500 0.250 0.250